## a
# Tb4Y5Tm

An optimized crystal structure of Tb4Y5Tm (GGA-PBE, Alexandria via LeMat-Bulk).

Output
Symmetry = C2/m (12)
Calculated volume = 323.1 Å³ per cell

a = 9.0424 Å, b = 9.0424 Å, c = 10.9054 Å
α = 106.67°, β = 106.67°, γ = 22.27°
Element x y z (fractional)
Tb1 0.0933 0.0933 0.3065
Tb2 0.3030 0.3030 0.4178
Tb3 0.6970 0.6970 0.5822
Tb4 0.9067 0.9067 0.6935
Y1 0.1056 0.1056 0.7878
Y2 0.2068 0.2068 0.0994
Y3 0.5000 0.5000 0.0000
Y4 0.7932 0.7932 0.9006
Y5 0.8944 0.8944 0.2122
Tm1 0.5000 0.5000 0.5000

---

## b
# Tb4Y5Tm

An optimized crystal structure of Tb4Y5Tm (GGA-PBE, Alexandria via LeMat-Bulk).

Output
Symmetry = I4 (79)
Calculated volume = 328.5 Å³ per cell

a = 7.8987 Å, b = 7.8987 Å, c = 7.8987 Å
α = 98.97°, β = 98.97°, γ = 133.48°
Element x y z (fractional)
Tb1 0.0466 0.6516 0.6982
Tb2 0.3484 0.0466 0.3950
Tb3 0.6516 0.9534 0.6050
Tb4 0.9534 0.3484 0.3018
Y1 0.2660 0.3480 0.6197
Y2 0.3480 0.7283 0.0821
Y3 0.6463 0.2660 0.9179
Y4 0.7283 0.6463 0.3803
Y5 0.7712 0.7712 0.0000
Tm1 0.2340 0.2340 0.0000

---

What is the least stable structure shown above? It is b.